The following is a DFT calculation (PBE-GGA) of an optimized crystal structure of FeBiAs2Ru.

Geometry as POSCAR:
```
FeBiAs2Ru
1.0
4.392 0.000 0.000
0.000 5.243 0.000
0.000 0.000 4.392
As Bi Fe Ru
2 1 1 1
direct
0.500 0.000 0.000
0.000 0.000 0.500
0.000 0.500 0.000
0.000 0.000 0.000
0.500 0.500 0.500
```

Properties
energy: -5.384 eV/atom
formation energy: 4.0 eV/f.u.
space group: P4/mmm (123)


The following is a DFT calculation (PBE-GGA) of an optimized crystal structure of Ga2Bi2As.

Geometry as POSCAR:
```
Ga2Bi2As
1.0
6.891 0.000 0.000
0.000 6.891 0.000
0.000 0.000 5.357
Ga Bi As
4 4 2
direct
0.868 0.632 0.000
0.368 0.868 0.000
0.132 0.368 0.000
0.632 0.132 0.000
0.233 0.733 0.500
0.767 0.267 0.500
0.733 0.767 0.500
0.267 0.233 0.500
0.000 0.000 0.000
0.500 0.500 0.000
```

Properties
energy: -3.545 eV/atom
formation energy: 0.7 eV/f.u.
ΔE to the lowest computed polymorph: 0.0 kJ/mol of atoms
space group: P4/mbm (127)


The following is a DFT calculation (PBE-GGA) of an optimized crystal structure of Ga12Bi5As3.

Geometry as POSCAR:
```
Ga12Bi5As3
1.0
-12.638 2.364 -6.101
6.417 -10.934 -6.464
-1.879 -3.069 13.769
Ga As Bi
48 12 20
direct
0.578 0.240 0.152
0.240 0.662 0.088
0.926 0.838 0.578
0.078 0.652 0.740
0.848 0.588 0.926
0.574 0.922 0.662
0.152 0.412 0.074
0.652 0.078 0.240
0.574 0.652 0.412
0.740 0.152 0.078
0.838 0.912 0.260
0.348 0.922 0.760
0.740 0.588 0.162
0.578 0.338 0.926
0.162 0.088 0.740
0.338 0.578 0.426
0.078 0.426 0.838
0.922 0.348 0.260
0.848 0.260 0.422
0.652 0.574 0.912
0.348 0.426 0.088
0.162 0.074 0.922
0.422 0.662 0.074
0.662 0.422 0.574
0.074 0.162 0.422
0.074 0.912 0.152
0.152 0.740 0.578
0.588 0.740 0.662
0.912 0.838 0.760
0.260 0.848 0.922
0.760 0.338 0.912
0.426 0.348 0.588
0.838 0.926 0.078
0.260 0.412 0.838
0.422 0.760 0.848
0.760 0.422 0.348
0.412 0.152 0.574
0.088 0.162 0.240
0.588 0.848 0.426
0.922 0.574 0.162
0.240 0.578 0.652
0.662 0.240 0.588
0.912 0.074 0.652
0.338 0.760 0.412
0.088 0.926 0.348
0.426 0.078 0.338
0.926 0.088 0.848
0.412 0.260 0.338
0.625 0.375 0.750
0.375 0.625 0.250
0.750 0.375 0.125
0.125 0.875 0.750
0.625 0.250 0.375
0.250 0.125 0.375
0.250 0.625 0.875
0.875 0.125 0.250
0.125 0.250 0.875
0.375 0.750 0.625
0.750 0.875 0.625
0.875 0.750 0.125
0.125 0.375 0.250
0.250 0.375 0.625
0.500 0.500 0.500
0.000 0.500 0.000
0.625 0.750 0.875
0.500 0.000 0.500
0.250 0.875 0.125
0.750 0.625 0.375
0.125 0.750 0.375
0.875 0.250 0.625
0.000 0.000 0.000
0.500 0.000 0.000
0.000 0.500 0.500
0.000 0.000 0.500
0.750 0.125 0.875
0.875 0.625 0.750
0.375 0.125 0.750
0.625 0.875 0.250
0.375 0.250 0.125
0.500 0.500 0.000
```

Properties
energy: -3.337 eV/atom
formation energy: 2.9 eV/f.u.
space group: Ia-3d (230)


The following is a DFT calculation (PBE-GGA) of an optimized crystal structure of Ga2BiAs2.

Geometry as POSCAR:
```
Ga2BiAs2
1.0
4.104 0.000 0.000
0.000 4.104 0.000
2.052 2.052 6.830
As Ga Bi
2 2 1
direct
0.378 0.378 0.245
0.622 0.622 0.755
0.750 0.250 0.500
0.250 0.750 0.500
0.000 0.000 0.000
```

Properties
energy: -3.743 eV/atom
formation energy: 0.5 eV/f.u.
ΔE to the lowest computed polymorph: 0.3 kJ/mol of atoms
space group: I4/mmm (139)


The following is a DFT calculation (PBE-GGA) of an optimized crystal structure of Ga2BiAs2.

Geometry as POSCAR:
```
Ga2BiAs2
1.0
-0.070 -3.348 2.716
3.221 -1.847 -2.193
5.556 0.171 3.777
As Bi Ga
2 1 2
direct
0.250 0.750 0.500
0.750 0.250 0.500
0.000 0.000 0.000
0.391 0.391 0.218
0.609 0.609 0.782
```

Properties
energy: -3.598 eV/atom
formation energy: 1.2 eV/f.u.
ΔE to the lowest computed polymorph: 14.3 kJ/mol of atoms
space group: I4/mmm (139)


The following is a DFT calculation (PBE-GGA) of an optimized crystal structure of GaBi2As.

Geometry as POSCAR:
```
GaBi2As
1.0
2.766 2.495 3.682
-2.228 1.202 4.585
1.442 -2.528 4.355
As Bi Ga
1 2 1
direct
0.500 0.500 0.500
0.250 0.250 0.250
0.750 0.750 0.750
0.000 0.000 0.000
```

Properties
energy: -3.653 eV/atom
formation energy: 0.8 eV/f.u.
ΔE to the lowest computed polymorph: 0.0 kJ/mol of atoms
space group: Fm-3m (225)


What did the fourth record say?
The following is a DFT calculation (PBE-GGA) of an optimized crystal structure of Ga2BiAs2.

Geometry as POSCAR:
```
Ga2BiAs2
1.0
4.104 0.000 0.000
0.000 4.104 0.000
2.052 2.052 6.830
As Ga Bi
2 2 1
direct
0.378 0.378 0.245
0.622 0.622 0.755
0.750 0.250 0.500
0.250 0.750 0.500
0.000 0.000 0.000
```

Properties
energy: -3.743 eV/atom
formation energy: 0.5 eV/f.u.
ΔE to the lowest computed polymorph: 0.3 kJ/mol of atoms
space group: I4/mmm (139)


Q: Which value of energy does entry 3 give?
A: -3.337 eV/atom


What did the fifth record say?
The following is a DFT calculation (PBE-GGA) of an optimized crystal structure of Ga2BiAs2.

Geometry as POSCAR:
```
Ga2BiAs2
1.0
-0.070 -3.348 2.716
3.221 -1.847 -2.193
5.556 0.171 3.777
As Bi Ga
2 1 2
direct
0.250 0.750 0.500
0.750 0.250 0.500
0.000 0.000 0.000
0.391 0.391 0.218
0.609 0.609 0.782
```

Properties
energy: -3.598 eV/atom
formation energy: 1.2 eV/f.u.
ΔE to the lowest computed polymorph: 14.3 kJ/mol of atoms
space group: I4/mmm (139)